The following is a DFT calculation (PBE-GGA) of a relaxed structure of MgTaMn2As.

Results
Volume, Å³ per atom: 23.10
Energy relative to the elements, eV per atom: 0.831
Mass density, g/cm3: 5.61
Density of states at the Fermi level, states/eV/cell: 1.94
DFT total energy, eV per formula unit: -32.3

abc: 4.841 4.841 4.930
angles: 90.00 90.00 90.00
Space group P4/mmm (No. 123)
Symmetry-distinct sites (fractional):
Mg1 0.000 0.000 0.000 x1
Ta1 0.500 0.500 0.500 x1
Mn1 0.000 0.500 0.500 x2
As1 0.500 0.500 0.000 x1